Entry 1:
DFT (PBEsol) results for DyMn6Ge6 after structural relaxation.

a = 5.087 Å, b = 5.087 Å, c = 8.026 Å
α = 90.00°, β = 90.00°, γ = 120.00°
Each line ends with the local moment (μB).
Element x y z (fractional)
Ge  0.000  0.000  0.344  -0.09
Ge  0.667  0.333  0.500  -0.09
Ge  0.333  0.667  0.500  -0.09
Mn  0.500  0.500  0.749  1.99
Mn  0.500  0.000  0.251  1.99
Dy  0.000  0.000  0.000  -0.25
Ge  0.333  0.667  0.000  -0.09
Mn  0.500  0.000  0.749  1.99
Mn  0.000  0.500  0.251  1.99
Ge  0.000  0.000  0.656  -0.09
Ge  0.667  0.333  0.000  -0.09
Mn  0.000  0.500  0.749  1.99
Mn  0.500  0.500  0.251  1.99

Results
- SG = No. 191
- crystal system = hexagonal
- formation energy (eV per formula unit) = -4.401

Entry 2:
DFT (PBEsol) results for CaSb2Br after structural relaxation.

a = 5.361 Å, b = 5.361 Å, c = 5.361 Å
α = 60.00°, β = 60.00°, γ = 60.00°
Element x y z (fractional)
Sb  0.000  0.000  0.000
Ca  0.250  0.250  0.250
Sb  0.750  0.750  0.750
Br  0.500  0.500  0.500

Results
- SG = No. 216
- crystal system = cubic
- ΔE_f (raw) (kJ/mol of atoms) = -50.1
- energy relative to the lowest polymorph listed for this composition (eV/f.u.) = 0.914

Entry 3:
DFT (PBEsol) results for YCoPt2 after structural relaxation.

a = 3.981 Å, b = 3.981 Å, c = 4.948 Å
α = 113.72°, β = 113.72°, γ = 90.00°
Each line ends with the local moment (μB).
Element x y z (fractional)
Pt  0.750  0.250  0.500  0.15
Y  0.500  0.500  0.000  -0.07
Co  0.250  0.750  0.500  1.61
Pt  0.000  0.000  0.000  0.20

Results
- SG = No. 119
- crystal system = tetragonal
- formation energy (eV per formula unit) = -1.990

Entry 4:
DFT (PBEsol) results for Sr3NiAs after structural relaxation.

a = 5.394 Å, b = 5.394 Å, c = 5.394 Å
α = 90.00°, β = 90.00°, γ = 90.00°
Element x y z (fractional)
As  0.500  0.500  0.500
Sr  0.000  0.000  0.500
Ni  0.000  0.000  0.000
Sr  0.000  0.500  0.000
Sr  0.500  0.000  0.000

Results
- SG = No. 221
- crystal system = cubic
- formation energy (eV per formula unit) = -0.772

What is the formula in the fourth record? Sr3NiAs

Repeat the third record exactly.
DFT (PBEsol) results for YCoPt2 after structural relaxation.

a = 3.981 Å, b = 3.981 Å, c = 4.948 Å
α = 113.72°, β = 113.72°, γ = 90.00°
Each line ends with the local moment (μB).
Element x y z (fractional)
Pt  0.750  0.250  0.500  0.15
Y  0.500  0.500  0.000  -0.07
Co  0.250  0.750  0.500  1.61
Pt  0.000  0.000  0.000  0.20

Results
- SG = No. 119
- crystal system = tetragonal
- formation energy (eV per formula unit) = -1.990